(1)
# TbPmY2 PBE optimized geometry
data_TbPmY2
_cell_length_a 5.0785
_cell_length_b 5.0785
_cell_length_c 5.0655
_cell_angle_alpha 90.00
_cell_angle_beta 90.00
_cell_angle_gamma 90.00
_space_group_name_H-M_alt 'P 4/m m m'
_space_group_IT_number 123
_space_group_name_Hall '-P 4 2'
loop_
_atom_site_label
_atom_site_type_symbol
_atom_site_fract_x
_atom_site_fract_y
_atom_site_fract_z
Tb1 Tb 0.0000 0.0000 0.0000
Pm1 Pm 0.5000 0.5000 0.0000
Y1 Y 0.0000 0.5000 0.5000
# **Energy above the lowest structure with this stoichiometry**: 9.4 meV per atom
# **ρ**: 6.1 Mg/m³
# **Energy of formation**: 21.2 meV per atom


(2)
# AgHgI2 PBE optimized geometry
data_AgHgI2
_cell_length_a 5.8343
_cell_length_b 13.8887
_cell_length_c 7.8929
_cell_angle_alpha 90.00
_cell_angle_beta 90.00
_cell_angle_gamma 90.00
_space_group_name_H-M_alt 'I b a m'
_space_group_IT_number 72
_space_group_name_Hall '-I 2 2c'
loop_
_atom_site_label
_atom_site_type_symbol
_atom_site_fract_x
_atom_site_fract_y
_atom_site_fract_z
Ag1 Ag 0.0000 0.0000 0.2500
Hg1 Hg 0.0000 0.5000 0.2500
I1 I 0.1832 0.1357 0.0000
# **Energy above the lowest structure with this stoichiometry**: 179.2 meV per atom
# **ρ**: 5.8 Mg/m³
# **Energy relative to the elements, uncorrected**: -0.06 eV/atom


(3)
# HfSbPS2 PBE optimized geometry
data_HfSbPS2
_cell_length_a 4.8356
_cell_length_b 4.8356
_cell_length_c 5.2059
_cell_angle_alpha 90.00
_cell_angle_beta 90.00
_cell_angle_gamma 90.00
_space_group_name_H-M_alt 'P 4/m m m'
_space_group_IT_number 123
_space_group_name_Hall '-P 4 2'
loop_
_atom_site_label
_atom_site_type_symbol
_atom_site_fract_x
_atom_site_fract_y
_atom_site_fract_z
Hf1 Hf 0.0000 0.0000 0.0000
Sb1 Sb 0.5000 0.5000 0.5000
P1 P 0.0000 0.0000 0.5000
S1 S 0.0000 0.5000 0.0000
# **Energy above the lowest structure with this stoichiometry**: 0.0 meV per atom
# **ρ**: 5.4 Mg/m³
# **Energy relative to the elements, uncorrected**: -0.16 eV/atom


(4)
# Tb5NdSmTh2 PBE optimized geometry
data_Tb5NdSmTh2
_cell_length_a 8.8867
_cell_length_b 8.8867
_cell_length_c 15.3817
_cell_angle_alpha 90.00
_cell_angle_beta 90.00
_cell_angle_gamma 90.00
_space_group_name_H-M_alt 'I 4/m c m'
_space_group_IT_number 140
_space_group_name_Hall '-I 4 2c'
loop_
_atom_site_label
_atom_site_type_symbol
_atom_site_fract_x
_atom_site_fract_y
_atom_site_fract_z
Tb1 Tb 0.0000 0.0000 0.0000
Tb2 Tb 0.2070 0.2930 0.1371
Nd1 Nd 0.0000 0.0000 0.2500
Sm1 Sm 0.0000 0.5000 0.2500
Th1 Th 0.1188 0.3812 0.5000
# **ρ**: 8.5 Mg/m³
# **Energy of formation**: 320.8 meV per atom


(5)
# TlW3 PBE optimized geometry
data_TlW3
_cell_length_a 9.2553
_cell_length_b 9.2553
_cell_length_c 2.8276
_cell_angle_alpha 90.00
_cell_angle_beta 90.00
_cell_angle_gamma 120.00
_space_group_name_H-M_alt 'R -3 m'
_space_group_IT_number 166
_space_group_name_Hall '-R 3 2"'
loop_
_atom_site_label
_atom_site_type_symbol
_atom_site_fract_x
_atom_site_fract_y
_atom_site_fract_z
Tl1 Tl 0.0000 0.0000 0.0000
W1 W 0.0000 0.5000 0.0000
# **Energy above the lowest structure with this stoichiometry**: 255.3 meV per atom
# **ρ**: 18.0 Mg/m³
# **Energy of formation**: 826.1 meV per atom


(6)
# PrCdTcO6 PBE optimized geometry
data_PrCdTcO6
_cell_length_a 5.5319
_cell_length_b 5.5319
_cell_length_c 4.9857
_cell_angle_alpha 90.00
_cell_angle_beta 90.00
_cell_angle_gamma 120.00
_space_group_name_H-M_alt 'P 3 1 2'
_space_group_IT_number 149
_space_group_name_Hall 'P 3 2'
loop_
_atom_site_label
_atom_site_type_symbol
_atom_site_fract_x
_atom_site_fract_y
_atom_site_fract_z
Pr1 Pr 0.0000 0.0000 0.0000
Cd1 Cd 0.3333 0.6667 0.5000
Tc1 Tc 0.6667 0.3333 0.5000
O1 O 0.3828 0.0529 0.7207
# **ρ**: 5.6 Mg/m³
# **Energy relative to the elements, uncorrected**: -1.71 eV/atom


(7)
# ThAlZnNi PBE optimized geometry
data_ThAlZnNi
_cell_length_a 6.6935
_cell_length_b 6.6935
_cell_length_c 6.6935
_cell_angle_alpha 90.00
_cell_angle_beta 90.00
_cell_angle_gamma 90.00
_space_group_name_H-M_alt 'F -4 3 m'
_space_group_IT_number 216
_space_group_name_Hall 'F -4 2 3'
loop_
_atom_site_label
_atom_site_type_symbol
_atom_site_fract_x
_atom_site_fract_y
_atom_site_fract_z
Th1 Th 0.0000 0.0000 0.0000
Al1 Al 0.0000 0.0000 0.5000
Zn1 Zn 0.2500 0.2500 0.2500
Ni1 Ni 0.2500 0.2500 0.7500
# **ρ**: 8.5 Mg/m³
# **Energy of formation**: -328.5 meV per atom


(8)
# V4Mo2W3 PBE optimized geometry
data_V4Mo2W3
_cell_length_a 9.7472
_cell_length_b 3.0936
_cell_length_c 9.3021
_cell_angle_alpha 90.00
_cell_angle_beta 107.20
_cell_angle_gamma 90.00
_space_group_name_H-M_alt 'C 1 2/m 1'
_space_group_IT_number 12
_space_group_name_Hall '-C 2y'
loop_
_atom_site_label
_atom_site_type_symbol
_atom_site_fract_x
_atom_site_fract_y
_atom_site_fract_z
V1 V 0.0010 0.0000 0.3316
V2 V 0.1673 0.5000 0.8883
Mo1 Mo 0.1677 0.5000 0.2209
W1 W 0.0000 0.0000 0.0000
W2 W 0.1638 0.5000 0.5563
# **Energy above the lowest structure with this stoichiometry**: 0.0 meV per atom
# **ρ**: 11.7 Mg/m³
# **Energy of formation**: -93.3 meV per atom


(9)
# CsHfO2 PBE optimized geometry
data_CsHfO2
_cell_length_a 6.1767
_cell_length_b 6.1767
_cell_length_c 6.1767
_cell_angle_alpha 90.00
_cell_angle_beta 90.00
_cell_angle_gamma 90.00
_space_group_name_H-M_alt 'F m -3 m'
_space_group_IT_number 225
_space_group_name_Hall '-F 4 2 3'
loop_
_atom_site_label
_atom_site_type_symbol
_atom_site_fract_x
_atom_site_fract_y
_atom_site_fract_z
Cs1 Cs 0.0000 0.0000 0.0000
Hf1 Hf 0.0000 0.0000 0.5000
O1 O 0.2500 0.2500 0.2500
# **ρ**: 9.7 Mg/m³
# **Energy relative to the elements, uncorrected**: -0.67 eV/atom


(10)
# Pa4ReGe PBE optimized geometry
data_Pa4ReGe
_cell_length_a 6.9069
_cell_length_b 6.9069
_cell_length_c 5.7821
_cell_angle_alpha 90.00
_cell_angle_beta 90.00
_cell_angle_gamma 90.00
_space_group_name_H-M_alt 'P 4/m c c'
_space_group_IT_number 124
_space_group_name_Hall '-P 4 2c'
loop_
_atom_site_label
_atom_site_type_symbol
_atom_site_fract_x
_atom_site_fract_y
_atom_site_fract_z
Pa1 Pa 0.1392 0.3427 0.0000
Re1 Re 0.0000 0.0000 0.2500
Ge1 Ge 0.5000 0.5000 0.2500
# **Energy above the lowest structure with this stoichiometry**: 0.0 meV per atom
# **ρ**: 14.2 Mg/m³
# **Energy of formation**: -228.7 meV per atom


(11)
# Li8PrAg4 PBE optimized geometry
data_Li8PrAg4
_cell_length_a 9.3115
_cell_length_b 9.3115
_cell_length_c 5.6674
_cell_angle_alpha 90.00
_cell_angle_beta 90.00
_cell_angle_gamma 90.00
_space_group_name_H-M_alt 'I 4/m m m'
_space_group_IT_number 139
_space_group_name_Hall '-I 4 2'
loop_
_atom_site_label
_atom_site_type_symbol
_atom_site_fract_x
_atom_site_fract_y
_atom_site_fract_z
Li1 Li 0.0000 0.2219 0.0000
Li2 Li 0.0000 0.3495 0.5000
Pr1 Pr 0.0000 0.0000 0.5000
Ag1 Ag 0.2500 0.2500 0.2500
# **ρ**: 4.2 Mg/m³
# **Energy of formation**: -129.5 meV per atom


(12)
# CdHg2Os PBE optimized geometry
data_CdHg2Os
_cell_length_a 2.8496
_cell_length_b 4.7711
_cell_length_c 13.3487
_cell_angle_alpha 90.00
_cell_angle_beta 90.00
_cell_angle_gamma 90.00
_space_group_name_H-M_alt 'I m m m'
_space_group_IT_number 71
_space_group_name_Hall '-I 2 2'
loop_
_atom_site_label
_atom_site_type_symbol
_atom_site_fract_x
_atom_site_fract_y
_atom_site_fract_z
Cd1 Cd 0.0000 0.0000 0.0000
Hg1 Hg 0.0000 0.5000 0.1836
Os1 Os 0.0000 0.0000 0.5000
# **ρ**: 12.9 Mg/m³
# **Energy of formation**: 542.3 meV per atom